i.
Below is a relaxed TaNiMoH crystal, with properties calculated at the PBE level.

Geometry as CIF:
```
data_TaNiMoH
_chemical_formula_sum 'Ta2 Ni2 Mo2 H2'
_cell_length_a 2.7110
_cell_length_b 4.0488
_cell_length_c 8.6742
_cell_angle_alpha 90.00
_cell_angle_beta 90.00
_cell_angle_gamma 90.00
_symmetry_space_group_name_H-M 'I m m 2'
_symmetry_Int_Tables_number 44
loop_
_symmetry_equiv_pos_as_xyz
'x,y,z'
'-x,-y,z'
'-x,y,z'
'x,-y,z'
'x+1/2,y+1/2,z+1/2'
'-x+1/2,-y+1/2,z+1/2'
'-x+1/2,y+1/2,z+1/2'
'x+1/2,-y+1/2,z+1/2'
loop_
_atom_site_label
_atom_site_fract_x
_atom_site_fract_y
_atom_site_fract_z
Ta1 0.0000 0.0000 0.0000
Ni1 0.0000 0.0000 0.3479
Mo1 0.0000 0.0000 0.6800
H1 0.0000 0.5000 0.6806
```

---

ii.
Below is a relaxed TaNiMoH crystal, with properties calculated at the PBE level.

Geometry as CIF:
```
data_TaNiMoH
_chemical_formula_sum 'Ta2 Ni2 Mo2 H2'
_cell_length_a 8.4373
_cell_length_b 4.2685
_cell_length_c 2.6845
_cell_angle_alpha 90.00
_cell_angle_beta 97.68
_cell_angle_gamma 90.00
_symmetry_space_group_name_H-M 'C 1 m 1'
_symmetry_Int_Tables_number 8
loop_
_symmetry_equiv_pos_as_xyz
'x,y,z'
'x,-y,z'
'x+1/2,y+1/2,z'
'x+1/2,-y+1/2,z'
loop_
_atom_site_label
_atom_site_fract_x
_atom_site_fract_y
_atom_site_fract_z
Ta1 0.0000 0.0000 0.0000
Ni1 0.1822 0.5000 0.7096
Mo1 0.3199 0.0000 0.3577
H1 0.4925 0.0000 0.9482
```

---

Each structure's energy above the most stable one, in meV per atom: i 0; ii 10.

---

i.
Below is a relaxed TaNiMoH crystal, with properties calculated at the PBE level.

Geometry as CIF:
```
data_TaNiMoH
_chemical_formula_sum 'Ta2 Ni2 Mo2 H2'
_cell_length_a 2.7876
_cell_length_b 2.7876
_cell_length_c 12.1227
_cell_angle_alpha 90.00
_cell_angle_beta 90.00
_cell_angle_gamma 90.00
_symmetry_space_group_name_H-M 'I 4 m m'
_symmetry_Int_Tables_number 107
_symmetry_space_group_name_Hall 'I 4 -2'
loop_
_atom_site_label
_atom_site_fract_x
_atom_site_fract_y
_atom_site_fract_z
Ta1 0.0000 0.0000 0.0000
Ni1 0.0000 0.0000 0.3429
Mo1 0.0000 0.0000 0.7007
H1 0.0000 0.0000 0.5432
```

---

ii.
Below is a relaxed TaNiMoH crystal, with properties calculated at the PBE level.

Geometry as CIF:
```
data_TaNiMoH
_chemical_formula_sum 'Ta2 Ni2 Mo2 H2'
_cell_length_a 3.3667
_cell_length_b 13.1087
_cell_length_c 2.7504
_cell_angle_alpha 90.00
_cell_angle_beta 127.68
_cell_angle_gamma 90.00
_symmetry_space_group_name_H-M 'C 1 2 1'
_symmetry_Int_Tables_number 5
loop_
_symmetry_equiv_pos_as_xyz
'x,y,z'
'-x,y,-z'
'x+1/2,y+1/2,z'
'-x+1/2,y+1/2,-z'
loop_
_atom_site_label
_atom_site_fract_x
_atom_site_fract_y
_atom_site_fract_z
Ta1 0.0000 0.0000 0.0000
Ni1 0.0000 0.3246 0.0000
Mo1 0.0000 0.6736 0.0000
H1 0.0000 0.3907 0.5000
```

---

Each structure's energy above the most stable one, in meV per atom: i 0; ii 16.

---

i.
Below is a relaxed TcNiMo2H crystal, with properties calculated at the PBE level.

Geometry as CIF:
```
data_TcNiMo2H
_chemical_formula_sum 'Tc1 Ni1 Mo2 H1'
_cell_length_a 3.9898
_cell_length_b 3.9898
_cell_length_c 3.7120
_cell_angle_alpha 90.00
_cell_angle_beta 90.00
_cell_angle_gamma 90.00
_symmetry_space_group_name_H-M 'P 4/m m m'
_symmetry_Int_Tables_number 123
_symmetry_space_group_name_Hall '-P 4 2'
loop_
_atom_site_label
_atom_site_fract_x
_atom_site_fract_y
_atom_site_fract_z
Tc1 0.0000 0.0000 0.0000
Ni1 0.5000 0.5000 0.0000
Mo1 0.0000 0.5000 0.5000
H1 0.5000 0.5000 0.5000
```

---

ii.
Below is a relaxed TcNiMo2H crystal, with properties calculated at the PBE level.

Geometry as CIF:
```
data_TcNiMo2H
_chemical_formula_sum 'Tc1 Ni1 Mo2 H1'
_cell_length_a 3.9292
_cell_length_b 3.9292
_cell_length_c 3.8635
_cell_angle_alpha 90.00
_cell_angle_beta 90.00
_cell_angle_gamma 90.00
_symmetry_space_group_name_H-M 'P 4/m m m'
_symmetry_Int_Tables_number 123
_symmetry_space_group_name_Hall '-P 4 2'
loop_
_atom_site_label
_atom_site_fract_x
_atom_site_fract_y
_atom_site_fract_z
Tc1 0.0000 0.0000 0.0000
Ni1 0.5000 0.5000 0.0000
Mo1 0.0000 0.5000 0.5000
H1 0.0000 0.0000 0.5000
```

---

Each structure's energy above the most stable one, in meV per atom: i 0; ii 40.

---

i.
Below is a relaxed Tc2NiMoH crystal, with properties calculated at the PBE level.

Geometry as CIF:
```
data_Tc2NiMoH
_chemical_formula_sum 'Tc2 Ni1 Mo1 H1'
_cell_length_a 3.9651
_cell_length_b 3.9651
_cell_length_c 3.6707
_cell_angle_alpha 90.00
_cell_angle_beta 90.00
_cell_angle_gamma 90.00
_symmetry_space_group_name_H-M 'P 4/m m m'
_symmetry_Int_Tables_number 123
_symmetry_space_group_name_Hall '-P 4 2'
loop_
_atom_site_label
_atom_site_fract_x
_atom_site_fract_y
_atom_site_fract_z
Tc1 0.0000 0.5000 0.0000
Ni1 0.0000 0.0000 0.5000
Mo1 0.5000 0.5000 0.5000
H1 0.0000 0.0000 0.0000
```

---

ii.
Below is a relaxed Tc2NiMoH crystal, with properties calculated at the PBE level.

Geometry as CIF:
```
data_Tc2NiMoH
_chemical_formula_sum 'Tc2 Ni1 Mo1 H1'
_cell_length_a 3.8682
_cell_length_b 3.8682
_cell_length_c 3.9019
_cell_angle_alpha 90.00
_cell_angle_beta 90.00
_cell_angle_gamma 90.00
_symmetry_space_group_name_H-M 'P 4/m m m'
_symmetry_Int_Tables_number 123
_symmetry_space_group_name_Hall '-P 4 2'
loop_
_atom_site_label
_atom_site_fract_x
_atom_site_fract_y
_atom_site_fract_z
Tc1 0.0000 0.5000 0.0000
Ni1 0.0000 0.0000 0.5000
Mo1 0.5000 0.5000 0.5000
H1 0.5000 0.5000 0.0000
```

---

Each structure's energy above the most stable one, in meV per atom: i 0; ii 69.

---

i.
Below is a relaxed V2NiMoH crystal, with properties calculated at the PBE level.

Geometry as CIF:
```
data_V2NiMoH
_chemical_formula_sum 'V2 Ni1 Mo1 H1'
_cell_length_a 4.0857
_cell_length_b 4.0857
_cell_length_c 3.3142
_cell_angle_alpha 90.00
_cell_angle_beta 90.00
_cell_angle_gamma 90.00
_symmetry_space_group_name_H-M 'P 4/m m m'
_symmetry_Int_Tables_number 123
_symmetry_space_group_name_Hall '-P 4 2'
loop_
_atom_site_label
_atom_site_fract_x
_atom_site_fract_y
_atom_site_fract_z
V1 0.0000 0.5000 0.0000
Ni1 0.0000 0.0000 0.5000
Mo1 0.5000 0.5000 0.5000
H1 0.0000 0.0000 0.0000
```

---

ii.
Below is a relaxed V2NiMoH crystal, with properties calculated at the PBE level.

Geometry as CIF:
```
data_V2NiMoH
_chemical_formula_sum 'V2 Ni1 Mo1 H1'
_cell_length_a 3.8153
_cell_length_b 3.8153
_cell_length_c 3.8496
_cell_angle_alpha 90.00
_cell_angle_beta 90.00
_cell_angle_gamma 90.00
_symmetry_space_group_name_H-M 'P 4/m m m'
_symmetry_Int_Tables_number 123
_symmetry_space_group_name_Hall '-P 4 2'
loop_
_atom_site_label
_atom_site_fract_x
_atom_site_fract_y
_atom_site_fract_z
V1 0.0000 0.5000 0.0000
Ni1 0.0000 0.0000 0.5000
Mo1 0.5000 0.5000 0.5000
H1 0.5000 0.5000 0.0000
```

---

Each structure's energy above the most stable one, in meV per atom: i 0; ii 97.

---

i.
Below is a relaxed VNiMo2H crystal, with properties calculated at the PBE level.

Geometry as CIF:
```
data_VNiMo2H
_chemical_formula_sum 'V1 Ni1 Mo2 H1'
_cell_length_a 3.9215
_cell_length_b 3.9215
_cell_length_c 3.8021
_cell_angle_alpha 90.00
_cell_angle_beta 90.00
_cell_angle_gamma 90.00
_symmetry_space_group_name_H-M 'P 4/m m m'
_symmetry_Int_Tables_number 123
_symmetry_space_group_name_Hall '-P 4 2'
loop_
_atom_site_label
_atom_site_fract_x
_atom_site_fract_y
_atom_site_fract_z
V1 0.0000 0.0000 0.0000
Ni1 0.5000 0.5000 0.0000
Mo1 0.0000 0.5000 0.5000
H1 0.0000 0.0000 0.5000
```

---

ii.
Below is a relaxed VNiMo2H crystal, with properties calculated at the PBE level.

Geometry as CIF:
```
data_VNiMo2H
_chemical_formula_sum 'V1 Ni1 Mo2 H1'
_cell_length_a 4.1255
_cell_length_b 4.1255
_cell_length_c 3.4085
_cell_angle_alpha 90.00
_cell_angle_beta 90.00
_cell_angle_gamma 90.00
_symmetry_space_group_name_H-M 'P 4/m m m'
_symmetry_Int_Tables_number 123
_symmetry_space_group_name_Hall '-P 4 2'
loop_
_atom_site_label
_atom_site_fract_x
_atom_site_fract_y
_atom_site_fract_z
V1 0.0000 0.0000 0.0000
Ni1 0.5000 0.5000 0.0000
Mo1 0.0000 0.5000 0.5000
H1 0.5000 0.5000 0.5000
```

---

Each structure's energy above the most stable one, in meV per atom: i 13; ii 0.

---

i.
Below is a relaxed VNi2MoH crystal, with properties calculated at the PBE level.

Geometry as CIF:
```
data_VNi2MoH
_chemical_formula_sum 'V1 Ni2 Mo1 H1'
_cell_length_a 3.6083
_cell_length_b 3.6083
_cell_length_c 4.0414
_cell_angle_alpha 90.00
_cell_angle_beta 90.00
_cell_angle_gamma 90.00
_symmetry_space_group_name_H-M 'P 4/m m m'
_symmetry_Int_Tables_number 123
_symmetry_space_group_name_Hall '-P 4 2'
loop_
_atom_site_label
_atom_site_fract_x
_atom_site_fract_y
_atom_site_fract_z
V1 0.0000 0.0000 0.0000
Ni1 0.0000 0.5000 0.5000
Mo1 0.5000 0.5000 0.0000
H1 0.5000 0.5000 0.5000
```

---

ii.
Below is a relaxed VNi2MoH crystal, with properties calculated at the PBE level.

Geometry as CIF:
```
data_VNi2MoH
_chemical_formula_sum 'V1 Ni2 Mo1 H1'
_cell_length_a 3.6029
_cell_length_b 3.6029
_cell_length_c 4.0185
_cell_angle_alpha 90.00
_cell_angle_beta 90.00
_cell_angle_gamma 90.00
_symmetry_space_group_name_H-M 'P 4/m m m'
_symmetry_Int_Tables_number 123
_symmetry_space_group_name_Hall '-P 4 2'
loop_
_atom_site_label
_atom_site_fract_x
_atom_site_fract_y
_atom_site_fract_z
V1 0.0000 0.0000 0.0000
Ni1 0.0000 0.5000 0.5000
Mo1 0.5000 0.5000 0.0000
H1 0.0000 0.0000 0.5000
```

---

Each structure's energy above the most stable one, in meV per atom: i 6; ii 0.

---

i.
Below is a relaxed NiMo2HW crystal, with properties calculated at the PBE level.

Geometry as CIF:
```
data_NiMo2HW
_chemical_formula_sum 'Ni1 Mo2 H1 W1'
_cell_length_a 4.0554
_cell_length_b 4.0554
_cell_length_c 3.6938
_cell_angle_alpha 90.00
_cell_angle_beta 90.00
_cell_angle_gamma 90.00
_symmetry_space_group_name_H-M 'P 4/m m m'
_symmetry_Int_Tables_number 123
_symmetry_space_group_name_Hall '-P 4 2'
loop_
_atom_site_label
_atom_site_fract_x
_atom_site_fract_y
_atom_site_fract_z
Ni1 0.0000 0.0000 0.0000
Mo1 0.0000 0.5000 0.5000
H1 0.0000 0.0000 0.5000
W1 0.5000 0.5000 0.0000
```

---

ii.
Below is a relaxed NiMo2HW crystal, with properties calculated at the PBE level.

Geometry as CIF:
```
data_NiMo2HW
_chemical_formula_sum 'Ni1 Mo2 H1 W1'
_cell_length_a 4.8660
_cell_length_b 4.8660
_cell_length_c 3.1521
_cell_angle_alpha 90.00
_cell_angle_beta 90.00
_cell_angle_gamma 90.00
_symmetry_space_group_name_H-M 'P 4/m m m'
_symmetry_Int_Tables_number 123
_symmetry_space_group_name_Hall '-P 4 2'
loop_
_atom_site_label
_atom_site_fract_x
_atom_site_fract_y
_atom_site_fract_z
Ni1 0.0000 0.0000 0.0000
Mo1 0.0000 0.5000 0.5000
H1 0.5000 0.5000 0.0000
W1 0.5000 0.5000 0.5000
```

---

Each structure's energy above the most stable one, in meV per atom: i 0; ii 1247.

---

i.
Below is a relaxed Zr2NiMoH crystal, with properties calculated at the PBE level.

Geometry as CIF:
```
data_Zr2NiMoH
_chemical_formula_sum 'Zr2 Ni1 Mo1 H1'
_cell_length_a 4.6334
_cell_length_b 4.6334
_cell_length_c 3.3907
_cell_angle_alpha 90.00
_cell_angle_beta 90.00
_cell_angle_gamma 90.00
_symmetry_space_group_name_H-M 'P 4/m m m'
_symmetry_Int_Tables_number 123
_symmetry_space_group_name_Hall '-P 4 2'
loop_
_atom_site_label
_atom_site_fract_x
_atom_site_fract_y
_atom_site_fract_z
Zr1 0.0000 0.5000 0.0000
Ni1 0.0000 0.0000 0.5000
Mo1 0.5000 0.5000 0.5000
H1 0.0000 0.0000 0.0000
```

---

ii.
Below is a relaxed Zr2NiMoH crystal, with properties calculated at the PBE level.

Geometry as CIF:
```
data_Zr2NiMoH
_chemical_formula_sum 'Zr2 Ni1 Mo1 H1'
_cell_length_a 4.6062
_cell_length_b 4.6062
_cell_length_c 3.5139
_cell_angle_alpha 90.00
_cell_angle_beta 90.00
_cell_angle_gamma 90.00
_symmetry_space_group_name_H-M 'P 4/m m m'
_symmetry_Int_Tables_number 123
_symmetry_space_group_name_Hall '-P 4 2'
loop_
_atom_site_label
_atom_site_fract_x
_atom_site_fract_y
_atom_site_fract_z
Zr1 0.0000 0.5000 0.0000
Ni1 0.0000 0.0000 0.5000
Mo1 0.5000 0.5000 0.5000
H1 0.5000 0.5000 0.0000
```

---

Each structure's energy above the most stable one, in meV per atom: i 0; ii 66.